Compound: BaCoSb2Pd
Source: the Open Quantum Materials Database
Functional: GGA-PBE
Structure: relaxed

Structure (CIF):
```
data_BaCoSb2Pd
_chemical_formula_sum 'Ba2 Co2 Sb4 Pd2'
_space_group_name_H-M_alt 'P 1'
_space_group_IT_number 1
_cell_length_a 4.6484
_cell_length_b 4.6484
_cell_length_c 10.9453
_cell_angle_alpha 90.00
_cell_angle_beta 90.00
_cell_angle_gamma 90.00
loop_
_space_group_symop_operation_xyz
'x,y,z'
loop_
_atom_site_label
_atom_site_fract_x
_atom_site_fract_y
_atom_site_fract_z
_atom_site_occupancy
Ba1 0.0000 0.5000 0.2404 1
Ba2 0.5000 0.0000 0.7596 1
Co1 0.0000 0.0000 0.0000 1
Co2 0.5000 0.5000 0.0000 1
Pd1 0.5000 0.0000 0.3654 1
Pd2 0.0000 0.5000 0.6346 1
Sb1 0.5000 0.0000 0.1106 1
Sb2 0.0000 0.0000 0.5000 1
Sb3 0.5000 0.5000 0.5000 1
Sb4 0.0000 0.5000 0.8894 1
```

Results
As for the magnetic moment: 1.9 μB/cell. The total energy is -5.042 eV/atom.

---

Compound: PmGeTe
Source: the Open Quantum Materials Database
Functional: GGA-PBE
Structure: relaxed

Structure (CIF):
```
data_PmGeTe
_chemical_formula_sum 'Pm1 Ge1 Te1'
_space_group_name_H-M_alt 'P 1'
_space_group_IT_number 1
_cell_length_a 5.0767
_cell_length_b 5.0767
_cell_length_c 5.0767
_cell_angle_alpha 60.00
_cell_angle_beta 60.00
_cell_angle_gamma 60.00
loop_
_space_group_symop_operation_xyz
'x,y,z'
loop_
_atom_site_label
_atom_site_fract_x
_atom_site_fract_y
_atom_site_fract_z
_atom_site_occupancy
Ge1 0.2500 0.2500 0.2500 1
Pm1 0.7500 0.7500 0.7500 1
Te1 0.0000 0.0000 0.0000 1
```

Results
As for the magnetic moment: 0.0 μB/cell. The total energy is -4.508 eV/atom.

---

Compound: HgPbSeO
Source: the Open Quantum Materials Database
Functional: GGA-PBE
Structure: relaxed

Structure (CIF):
```
data_HgPbSeO
_chemical_formula_sum 'Hg4 Pb4 Se4 O4'
_space_group_name_H-M_alt 'P 1'
_space_group_IT_number 1
_cell_length_a 6.2502
_cell_length_b 10.0684
_cell_length_c 6.2298
_cell_angle_alpha 90.00
_cell_angle_beta 90.00
_cell_angle_gamma 90.00
loop_
_space_group_symop_operation_xyz
'x,y,z'
loop_
_atom_site_label
_atom_site_fract_x
_atom_site_fract_y
_atom_site_fract_z
_atom_site_occupancy
Hg1 0.4593 0.0898 0.0332 1
Hg2 0.9593 0.9102 0.0332 1
Hg3 0.0407 0.0898 0.5332 1
Hg4 0.5407 0.9102 0.5332 1
O1 0.0559 0.1050 0.1125 1
O2 0.5559 0.8950 0.1125 1
O3 0.4441 0.1050 0.6125 1
O4 0.9441 0.8950 0.6125 1
Pb1 0.9935 0.3221 0.0542 1
Pb2 0.4935 0.6779 0.0542 1
Pb3 0.5065 0.3221 0.5542 1
Pb4 0.0065 0.6779 0.5542 1
Se1 0.4977 0.3414 0.0501 1
Se2 0.9977 0.6586 0.0501 1
Se3 0.0023 0.3414 0.5501 1
Se4 0.5023 0.6586 0.5501 1
```

Results
As for the polymorph energy (0 for the lowest one): 0.076 eV/atom.